1.
Material: Pm3Ge2Se
Method: DFT, PBE-GGA
State: relaxed

Calculated values
The energy relative to the elements, uncorrected is -687 kJ/mol of formula units. The density of states at the Fermi level is 2.69 states/eV per cell. For the total energy, the calculation gives -34.1 eV/cell.

a = 7.398 Å, b = 7.398 Å, c = 7.398 Å
α = 147.00°, β = 132.14°, γ = 59.37°
Atoms (fractional coordinates):
Pm 0.000 0.000 0.000
Pm 0.334 0.334 0.000
Pm 0.666 0.666 0.000
Ge 0.164 0.664 0.500
Ge 0.836 0.336 0.500
Se 0.500 0.000 0.500

***

2.
Material: Pm6GeSe4
Method: DFT, PBE-GGA
State: relaxed

Calculated values
The energy relative to the elements, uncorrected is -1591 kJ/mol of formula units. The density of states at the Fermi level is 17.12 states/eV per cell. For the total energy, the calculation gives -127.1 eV/cell.

a = 7.113 Å, b = 7.113 Å, c = 21.172 Å
α = 90.00°, β = 90.00°, γ = 145.83°
Atoms (fractional coordinates):
Pm 0.000 0.000 0.000
Pm 0.000 0.000 0.500
Pm 0.173 0.827 0.750
Pm 0.275 0.725 0.090
Pm 0.275 0.725 0.410
Pm 0.442 0.558 0.668
Pm 0.442 0.558 0.832
Pm 0.558 0.442 0.168
Pm 0.558 0.442 0.332
Pm 0.725 0.275 0.590
Pm 0.725 0.275 0.910
Pm 0.827 0.173 0.250
Ge 0.170 0.830 0.250
Ge 0.830 0.170 0.750
Se 0.084 0.916 0.627
Se 0.084 0.916 0.873
Se 0.360 0.640 0.540
Se 0.360 0.640 0.960
Se 0.640 0.360 0.040
Se 0.640 0.360 0.460
Se 0.916 0.084 0.127
Se 0.916 0.084 0.373

***

3.
Material: PmGeSe2
Method: DFT, PBE-GGA
State: relaxed

Calculated values
The energy relative to the elements, uncorrected is -351 kJ/mol of formula units. The density of states at the Fermi level is 5.34 states/eV per cell. For the total energy, the calculation gives -59.9 eV/cell.

a = 4.205 Å, b = 4.205 Å, c = 22.083 Å
α = 90.00°, β = 90.00°, γ = 120.00°
Atoms (fractional coordinates):
Pm 0.000 0.704 0.333
Pm 0.296 0.296 0.000
Pm 0.704 0.000 0.667
Ge 0.000 0.232 0.833
Ge 0.232 0.000 0.167
Ge 0.768 0.768 0.500
Se 0.043 0.676 0.743
Se 0.324 0.368 0.409
Se 0.368 0.324 0.591
Se 0.632 0.957 0.076
Se 0.676 0.043 0.257
Se 0.957 0.632 0.924

***

4.
Material: Pm4GeSe2
Method: DFT, PBE-GGA
State: relaxed

Calculated values
The energy relative to the elements, uncorrected is -879 kJ/mol of formula units. The density of states at the Fermi level is 10.28 states/eV per cell. For the total energy, the calculation gives -79.4 eV/cell.

a = 7.080 Å, b = 7.080 Å, c = 14.001 Å
α = 90.00°, β = 90.00°, γ = 145.88°
Atoms (fractional coordinates):
Pm 0.000 0.000 0.000
Pm 0.000 0.000 0.500
Pm 0.281 0.719 0.627
Pm 0.281 0.719 0.873
Pm 0.449 0.551 0.250
Pm 0.551 0.449 0.750
Pm 0.719 0.281 0.127
Pm 0.719 0.281 0.373
Ge 0.105 0.895 0.250
Ge 0.895 0.105 0.750
Se 0.360 0.640 0.064
Se 0.360 0.640 0.436
Se 0.640 0.360 0.564
Se 0.640 0.360 0.936

***

5.
Material: Pm4GeSe2
Method: DFT, PBE-GGA
State: relaxed

Calculated values
The energy relative to the elements, uncorrected is -846 kJ/mol of formula units. The density of states at the Fermi level is 11.79 states/eV per cell. For the total energy, the calculation gives -78.7 eV/cell.

a = 7.495 Å, b = 12.261 Å, c = 4.334 Å
α = 90.00°, β = 90.00°, γ = 90.00°
Atoms (fractional coordinates):
Pm 0.121 0.215 0.000
Pm 0.247 0.950 0.500
Pm 0.253 0.450 0.500
Pm 0.379 0.715 0.000
Pm 0.621 0.285 0.000
Pm 0.747 0.550 0.500
Pm 0.753 0.050 0.500
Pm 0.879 0.785 0.000
Ge 0.000 0.000 0.000
Ge 0.500 0.500 0.000
Se 0.103 0.687 0.500
Se 0.397 0.187 0.500
Se 0.603 0.813 0.500
Se 0.897 0.313 0.500

***

6.
Material: Pm6GeSe5
Method: DFT, PBE-GGA
State: relaxed

Calculated values
The energy relative to the elements, uncorrected is -2007 kJ/mol of formula units. The density of states at the Fermi level is 5.50 states/eV per cell. For the total energy, the calculation gives -71.3 eV/cell.

a = 7.291 Å, b = 7.291 Å, c = 7.325 Å
α = 99.52°, β = 99.52°, γ = 119.97°
Atoms (fractional coordinates):
Pm 0.081 0.406 0.744
Pm 0.244 0.244 0.257
Pm 0.406 0.081 0.744
Pm 0.594 0.919 0.256
Pm 0.756 0.756 0.743
Pm 0.919 0.594 0.256
Ge 0.000 0.000 0.500
Se 0.168 0.832 0.000
Se 0.333 0.667 0.500
Se 0.500 0.500 0.000
Se 0.667 0.333 0.500
Se 0.832 0.168 0.000

***

7.
Material: Pm2GeSe4
Method: DFT, PBE-GGA
State: relaxed

Calculated values
The energy relative to the elements, uncorrected is -828 kJ/mol of formula units. For the total energy, the calculation gives -73.3 eV/cell.

a = 7.764 Å, b = 7.628 Å, c = 7.878 Å
α = 90.00°, β = 104.05°, γ = 90.00°
Atoms (fractional coordinates):
Pm 0.037 0.250 0.152
Pm 0.461 0.750 0.843
Pm 0.539 0.250 0.157
Pm 0.963 0.750 0.848
Ge 0.339 0.750 0.362
Ge 0.661 0.250 0.638
Se 0.142 0.750 0.566
Se 0.252 0.507 0.014
Se 0.252 0.993 0.014
Se 0.359 0.250 0.440
Se 0.641 0.750 0.560
Se 0.748 0.007 0.986
Se 0.748 0.493 0.986
Se 0.858 0.250 0.434

***

8.
Material: Pm3GeSe
Method: DFT, PBE-GGA
State: relaxed

Calculated values
The energy relative to the elements, uncorrected is -450 kJ/mol of formula units. The density of states at the Fermi level is 25.21 states/eV per cell. For the total energy, the calculation gives -108.1 eV/cell.

a = 8.014 Å, b = 10.317 Å, c = 7.044 Å
α = 90.00°, β = 90.00°, γ = 90.00°
Atoms (fractional coordinates):
Pm 0.060 0.250 0.180
Pm 0.180 0.071 0.661
Pm 0.180 0.429 0.661
Pm 0.320 0.571 0.161
Pm 0.320 0.929 0.161
Pm 0.440 0.750 0.680
Pm 0.560 0.250 0.320
Pm 0.680 0.071 0.839
Pm 0.680 0.429 0.839
Pm 0.820 0.571 0.339
Pm 0.820 0.929 0.339
Pm 0.940 0.750 0.820
Ge 0.000 0.000 0.000
Ge 0.000 0.500 0.000
Ge 0.500 0.000 0.500
Ge 0.500 0.500 0.500
Se 0.123 0.750 0.450
Se 0.377 0.250 0.950
Se 0.623 0.750 0.050
Se 0.877 0.250 0.550

***

9.
Material: Pm5Ge2Se4
Method: DFT, PBE-GGA
State: relaxed

Calculated values
The energy relative to the elements, uncorrected is -1369 kJ/mol of formula units. The density of states at the Fermi level is 3.46 states/eV per cell. For the total energy, the calculation gives -61.1 eV/cell.

a = 21.687 Å, b = 21.687 Å, c = 21.687 Å
α = 11.58°, β = 11.58°, γ = 11.58°
Atoms (fractional coordinates):
Pm 0.000 0.000 0.000
Pm 0.120 0.120 0.120
Pm 0.281 0.281 0.281
Pm 0.719 0.719 0.719
Pm 0.880 0.880 0.880
Ge 0.360 0.360 0.360
Ge 0.640 0.640 0.640
Se 0.078 0.078 0.078
Se 0.194 0.194 0.194
Se 0.806 0.806 0.806
Se 0.922 0.922 0.922

***

10.
Material: Pm6Ge3Se
Method: DFT, PBE-GGA
State: relaxed

Calculated values
The energy relative to the elements, uncorrected is -726 kJ/mol of formula units. The density of states at the Fermi level is 7.62 states/eV per cell. For the total energy, the calculation gives -53.4 eV/cell.

a = 4.227 Å, b = 4.227 Å, c = 20.123 Å
α = 90.00°, β = 90.00°, γ = 120.00°
Atoms (fractional coordinates):
Pm 0.333 0.667 0.081
Pm 0.333 0.667 0.411
Pm 0.333 0.667 0.753
Pm 0.667 0.333 0.247
Pm 0.667 0.333 0.589
Pm 0.667 0.333 0.919
Ge 0.000 0.000 0.000
Ge 0.000 0.000 0.323
Ge 0.000 0.000 0.677
Se 0.000 0.000 0.500

***

11.
Material: Pm6Ge5Se
Method: DFT, PBE-GGA
State: relaxed

Calculated values
The energy relative to the elements, uncorrected is -1077 kJ/mol of formula units. The density of states at the Fermi level is 9.08 states/eV per cell. For the total energy, the calculation gives -66.2 eV/cell.

a = 7.366 Å, b = 7.366 Å, c = 7.374 Å
α = 99.63°, β = 99.63°, γ = 120.11°
Atoms (fractional coordinates):
Pm 0.083 0.413 0.750
Pm 0.248 0.248 0.254
Pm 0.413 0.083 0.750
Pm 0.587 0.917 0.250
Pm 0.752 0.752 0.746
Pm 0.917 0.587 0.250
Ge 0.164 0.836 0.000
Ge 0.334 0.666 0.500
Ge 0.500 0.500 0.000
Ge 0.666 0.334 0.500
Ge 0.836 0.164 0.000
Se 0.000 0.000 0.500

***

12.
Material: Pm4Ge3Se
Method: DFT, PBE-GGA
State: relaxed

Calculated values
The energy relative to the elements, uncorrected is -816 kJ/mol of formula units. The density of states at the Fermi level is 7.35 states/eV per cell. For the total energy, the calculation gives -44.8 eV/cell.

a = 6.008 Å, b = 6.008 Å, c = 6.008 Å
α = 90.00°, β = 90.00°, γ = 90.00°
Atoms (fractional coordinates):
Pm 0.000 0.000 0.000
Pm 0.000 0.500 0.500
Pm 0.500 0.000 0.500
Pm 0.500 0.500 0.000
Ge 0.000 0.000 0.500
Ge 0.000 0.500 0.000
Ge 0.500 0.000 0.000
Se 0.500 0.500 0.500

***

13.
Material: Pm7GeSe5
Method: DFT, PBE-GGA
State: relaxed

Calculated values
The energy relative to the elements, uncorrected is -1952 kJ/mol of formula units. The density of states at the Fermi level is 15.20 states/eV per cell. For the total energy, the calculation gives -151.0 eV/cell.

a = 7.148 Å, b = 7.148 Å, c = 24.740 Å
α = 90.01°, β = 90.01°, γ = 33.93°
Atoms (fractional coordinates):
Pm 0.000 0.000 0.000
Pm 0.000 0.000 0.138
Pm 0.102 0.102 0.435
Pm 0.102 0.102 0.703
Pm 0.285 0.285 0.935
Pm 0.286 0.286 0.203
Pm 0.387 0.387 0.638
Pm 0.388 0.388 0.500
Pm 0.555 0.555 0.857
Pm 0.556 0.556 0.281
Pm 0.658 0.658 0.569
Pm 0.730 0.730 0.069
Pm 0.832 0.832 0.781
Pm 0.833 0.833 0.357
Ge 0.003 0.003 0.569
Ge 0.385 0.385 0.069
Se 0.193 0.193 0.819
Se 0.194 0.194 0.319
Se 0.470 0.470 0.391
Se 0.470 0.470 0.747
Se 0.641 0.641 0.963
Se 0.642 0.642 0.175
Se 0.746 0.746 0.675
Se 0.747 0.747 0.463
Se 0.917 0.917 0.891
Se 0.918 0.918 0.247

***

14.
Material: Pm5GeSe4
Method: DFT, PBE-GGA
State: relaxed

Calculated values
The energy relative to the elements, uncorrected is -1647 kJ/mol of formula units. The density of states at the Fermi level is 4.81 states/eV per cell. For the total energy, the calculation gives -59.4 eV/cell.

a = 7.313 Å, b = 7.313 Å, c = 7.313 Å
α = 99.51°, β = 99.51°, γ = 132.03°
Atoms (fractional coordinates):
Pm 0.000 0.000 0.000
Pm 0.207 0.597 0.804
Pm 0.403 0.207 0.610
Pm 0.597 0.793 0.390
Pm 0.793 0.403 0.196
Ge 0.500 0.500 0.000
Se 0.099 0.301 0.400
Se 0.301 0.901 0.202
Se 0.699 0.099 0.798
Se 0.901 0.699 0.600

***

15.
Material: Pm8Ge5Se
Method: DFT, PBE-GGA
State: relaxed

Calculated values
The energy relative to the elements, uncorrected is -1278 kJ/mol of formula units. The density of states at the Fermi level is 10.95 states/eV per cell. For the total energy, the calculation gives -77.8 eV/cell.

a = 7.853 Å, b = 7.853 Å, c = 7.853 Å
α = 109.47°, β = 109.47°, γ = 109.47°
Atoms (fractional coordinates):
Pm 0.003 0.121 0.747
Pm 0.241 0.490 0.614
Pm 0.373 0.256 0.253
Pm 0.373 0.759 0.249
Pm 0.510 0.124 0.751
Pm 0.744 0.997 0.118
Pm 0.876 0.627 0.386
Pm 0.879 0.627 0.882
Ge 0.000 0.377 0.125
Ge 0.125 0.000 0.377
Ge 0.252 0.875 0.875
Ge 0.623 0.748 0.623
Ge 0.750 0.250 0.500
Se 0.500 0.500 0.000

***

16.
Material: PmGeSe2
Method: DFT, PBE-GGA
State: relaxed

Calculated values
The energy relative to the elements, uncorrected is -349 kJ/mol of formula units. The density of states at the Fermi level is 2.33 states/eV per cell. For the total energy, the calculation gives -20.0 eV/cell.

a = 6.971 Å, b = 6.971 Å, c = 6.971 Å
α = 35.33°, β = 35.33°, γ = 35.33°
Atoms (fractional coordinates):
Pm 0.000 0.000 0.000
Ge 0.500 0.500 0.500
Se 0.244 0.244 0.244
Se 0.756 0.756 0.756

***

17.
Material: Pm8GeSe6
Method: DFT, PBE-GGA
State: relaxed

Calculated values
The energy relative to the elements, uncorrected is -1966 kJ/mol of formula units. The density of states at the Fermi level is 11.64 states/eV per cell. For the total energy, the calculation gives -83.9 eV/cell.

a = 10.666 Å, b = 10.666 Å, c = 4.220 Å
α = 90.00°, β = 90.00°, γ = 120.00°
Atoms (fractional coordinates):
Pm 0.032 0.313 0.244
Pm 0.281 0.968 0.244
Pm 0.313 0.281 0.756
Pm 0.333 0.667 0.752
Pm 0.667 0.333 0.248
Pm 0.687 0.719 0.244
Pm 0.719 0.032 0.756
Pm 0.968 0.687 0.756
Ge 0.000 0.000 0.000
Se 0.129 0.648 0.251
Se 0.352 0.481 0.251
Se 0.481 0.129 0.749
Se 0.519 0.871 0.251
Se 0.648 0.519 0.749
Se 0.871 0.352 0.749

***

18.
Material: PmGe2Se4
Method: DFT, PBE-GGA
State: relaxed

Calculated values
The energy relative to the elements, uncorrected is -350 kJ/mol of formula units. The density of states at the Fermi level is 2.64 states/eV per cell. For the total energy, the calculation gives -31.6 eV/cell.

a = 6.432 Å, b = 6.432 Å, c = 6.432 Å
α = 105.95°, β = 105.95°, γ = 116.78°
Atoms (fractional coordinates):
Pm 0.000 0.000 0.000
Ge 0.250 0.750 0.500
Ge 0.750 0.250 0.500
Se 0.193 0.323 0.516
Se 0.323 0.807 0.130
Se 0.677 0.193 0.870
Se 0.807 0.677 0.484

***

19.
Material: Pm4GeSe5
Method: DFT, PBE-GGA
State: relaxed

Calculated values
The energy relative to the elements, uncorrected is -1425 kJ/mol of formula units. The density of states at the Fermi level is 3.11 states/eV per cell. For the total energy, the calculation gives -55.8 eV/cell.

a = 17.089 Å, b = 17.089 Å, c = 17.089 Å
α = 14.10°, β = 14.10°, γ = 14.10°
Atoms (fractional coordinates):
Pm 0.099 0.099 0.099
Pm 0.299 0.299 0.299
Pm 0.701 0.701 0.701
Pm 0.901 0.901 0.901
Ge 0.500 0.500 0.500
Se 0.000 0.000 0.000
Se 0.197 0.197 0.197
Se 0.401 0.401 0.401
Se 0.599 0.599 0.599
Se 0.803 0.803 0.803

***

20.
Material: Pm5Ge2Se2
Method: DFT, PBE-GGA
State: relaxed

Calculated values
The energy relative to the elements, uncorrected is -1057 kJ/mol of formula units. The density of states at the Fermi level is 12.68 states/eV per cell. For the total energy, the calculation gives -101.8 eV/cell.

a = 8.461 Å, b = 8.461 Å, c = 7.932 Å
α = 90.00°, β = 90.00°, γ = 55.24°
Atoms (fractional coordinates):
Pm 0.000 0.000 0.000
Pm 0.033 0.696 0.664
Pm 0.196 0.533 0.164
Pm 0.304 0.967 0.664
Pm 0.467 0.804 0.164
Pm 0.500 0.500 0.500
Pm 0.533 0.196 0.836
Pm 0.696 0.033 0.336
Pm 0.804 0.467 0.836
Pm 0.967 0.304 0.336
Ge 0.130 0.870 0.370
Ge 0.370 0.630 0.870
Ge 0.630 0.370 0.130
Ge 0.870 0.130 0.630
Se 0.200 0.200 0.000
Se 0.300 0.300 0.500
Se 0.700 0.700 0.500
Se 0.800 0.800 0.000